# 1
AgPb2Au: optimized geometry, PBEsol.

Computed properties:
Electronic total energy   -3.746 eV/atom
Crystal system   orthorhombic
Space group   No. 65
Energy above the most stable polymorph in this dataset   65 meV/atom

CIF file:
```
data_AgPb2Au
_chemical_formula_sum 'Ag2 Pb4 Au2'
_symmetry_space_group_name_H-M 'P 1'
_symmetry_Int_Tables_number 1
_cell_length_a 7.203
_cell_length_b 7.218
_cell_length_c 3.489
_cell_angle_alpha 90.00
_cell_angle_beta 90.00
_cell_angle_gamma 90.00
loop_
_symmetry_equiv_pos_as_xyz
'x,y,z'
loop_
_atom_site_label
_atom_site_type_symbol
_atom_site_fract_x
_atom_site_fract_y
_atom_site_fract_z
Ag1 Ag 0.000 0.000 0.000
Ag2 Ag 0.500 0.500 0.000
Pb1 Pb 0.250 0.250 0.500
Pb2 Pb 0.250 0.750 0.500
Pb3 Pb 0.750 0.250 0.500
Pb4 Pb 0.750 0.750 0.500
Au1 Au 0.000 0.500 0.000
Au2 Au 0.500 0.000 0.000
```

---

# 2
Ag3PdAu: optimized geometry, PBEsol.

Computed properties:
Electronic total energy   -2.913 eV/atom
Crystal system   cubic
Space group   No. 221

CIF file:
```
data_Ag3PdAu
_chemical_formula_sum 'Ag3 Pd1 Au1'
_symmetry_space_group_name_H-M 'P 1'
_symmetry_Int_Tables_number 1
_cell_length_a 4.953
_cell_length_b 4.953
_cell_length_c 4.953
_cell_angle_alpha 90.00
_cell_angle_beta 90.00
_cell_angle_gamma 90.00
loop_
_symmetry_equiv_pos_as_xyz
'x,y,z'
loop_
_atom_site_label
_atom_site_type_symbol
_atom_site_fract_x
_atom_site_fract_y
_atom_site_fract_z
Ag1 Ag 0.000 0.000 0.500
Ag2 Ag 0.000 0.500 0.000
Ag3 Ag 0.500 0.000 0.000
Pd1 Pd 0.500 0.500 0.500
Au1 Au 0.000 0.000 0.000
```

---

# 3
PmAgAu2: optimized geometry, PBEsol.

Computed properties:
Electronic total energy   -4.627 eV/atom
Crystal system   cubic
Space group   No. 225

CIF file:
```
data_PmAgAu2
_chemical_formula_sum 'Pm4 Ag4 Au8'
_symmetry_space_group_name_H-M 'P 1'
_symmetry_Int_Tables_number 1
_cell_length_a 6.882
_cell_length_b 6.882
_cell_length_c 6.882
_cell_angle_alpha 90.00
_cell_angle_beta 90.00
_cell_angle_gamma 90.00
loop_
_symmetry_equiv_pos_as_xyz
'x,y,z'
loop_
_atom_site_label
_atom_site_type_symbol
_atom_site_fract_x
_atom_site_fract_y
_atom_site_fract_z
Pm1 Pm 0.000 0.000 0.000
Pm2 Pm 0.000 0.500 0.500
Pm3 Pm 0.500 0.000 0.500
Pm4 Pm 0.500 0.500 0.000
Ag1 Ag 0.000 0.000 0.500
Ag2 Ag 0.000 0.500 0.000
Ag3 Ag 0.500 0.000 0.000
Ag4 Ag 0.500 0.500 0.500
Au1 Au 0.250 0.250 0.250
Au2 Au 0.250 0.250 0.750
Au3 Au 0.250 0.750 0.250
Au4 Au 0.250 0.750 0.750
Au5 Au 0.750 0.250 0.250
Au6 Au 0.750 0.250 0.750
Au7 Au 0.750 0.750 0.250
Au8 Au 0.750 0.750 0.750
```

---

# 4
AgPtAu2: optimized geometry, PBEsol.

Computed properties:
Electronic total energy   -4.541 eV/atom
Crystal system   monoclinic
Space group   No. 8
Energy above the most stable polymorph in this dataset   5 meV/atom

CIF file:
```
data_AgPtAu2
_chemical_formula_sum 'Ag2 Pt2 Au4'
_symmetry_space_group_name_H-M 'P 1'
_symmetry_Int_Tables_number 1
_cell_length_a 9.479
_cell_length_b 2.847
_cell_length_c 4.886
_cell_angle_alpha 90.00
_cell_angle_beta 100.31
_cell_angle_gamma 90.00
loop_
_symmetry_equiv_pos_as_xyz
'x,y,z'
loop_
_atom_site_label
_atom_site_type_symbol
_atom_site_fract_x
_atom_site_fract_y
_atom_site_fract_z
Ag1 Ag 0.000 0.000 0.000
Ag2 Ag 0.500 0.500 0.000
Pt1 Pt 0.248 0.500 0.252
Pt2 Pt 0.748 0.000 0.252
Au1 Au 0.247 0.000 0.752
Au2 Au 0.495 0.000 0.494
Au3 Au 0.747 0.500 0.752
Au4 Au 0.995 0.500 0.494
```

---

# 5
AgPtAu2: optimized geometry, PBEsol.

Computed properties:
Electronic total energy   -4.535 eV/atom
Crystal system   orthorhombic
Space group   No. 25
Energy above the most stable polymorph in this dataset   10 meV/atom

CIF file:
```
data_AgPtAu2
_chemical_formula_sum 'Ag1 Pt1 Au2'
_symmetry_space_group_name_H-M 'P 1'
_symmetry_Int_Tables_number 1
_cell_length_a 2.818
_cell_length_b 4.744
_cell_length_c 4.862
_cell_angle_alpha 90.00
_cell_angle_beta 90.00
_cell_angle_gamma 90.00
loop_
_symmetry_equiv_pos_as_xyz
'x,y,z'
loop_
_atom_site_label
_atom_site_type_symbol
_atom_site_fract_x
_atom_site_fract_y
_atom_site_fract_z
Ag1 Ag 0.000 0.000 0.000
Pt1 Pt 0.000 0.500 0.655
Au1 Au 0.500 0.000 0.506
Au2 Au 0.500 0.500 0.156
```

---

# 6
AgPtAu2: optimized geometry, PBEsol.

Computed properties:
Electronic total energy   -4.518 eV/atom
Crystal system   orthorhombic
Space group   No. 35
Energy above the most stable polymorph in this dataset   28 meV/atom

CIF file:
```
data_AgPtAu2
_chemical_formula_sum 'Ag2 Pt2 Au4'
_symmetry_space_group_name_H-M 'P 1'
_symmetry_Int_Tables_number 1
_cell_length_a 2.834
_cell_length_b 4.795
_cell_length_c 9.639
_cell_angle_alpha 90.00
_cell_angle_beta 90.00
_cell_angle_gamma 90.00
loop_
_symmetry_equiv_pos_as_xyz
'x,y,z'
loop_
_atom_site_label
_atom_site_type_symbol
_atom_site_fract_x
_atom_site_fract_y
_atom_site_fract_z
Ag1 Ag 0.000 0.000 0.000
Ag2 Ag 0.500 0.500 0.000
Pt1 Pt 0.000 0.500 0.244
Pt2 Pt 0.500 0.000 0.244
Au1 Au 0.000 0.000 0.493
Au2 Au 0.000 0.500 0.749
Au3 Au 0.500 0.000 0.749
Au4 Au 0.500 0.500 0.493
```

---

Question: Among the records above, which one has the highest electronic total energy?
Answer: Ag3PdAu